Entry 1:
Entry from the Alexandria database: an optimized crystal structure of Mg2SiAu (PBE).

Properties
The symmetry is C2/c. Its magnetization is 0.000 μB/cell. The formation energy without anion corrections is -0.86 eV per formula unit. The calculation puts the volume at 20.5 Å³/atom.

Lattice parameters (Å, degrees): 5.199 5.199 7.940 112.63 112.63 58.58
Sites, in units of the cell vectors:
Mg: 0.183 0.202 0.096
Mg: 0.202 0.183 0.596
Mg: 0.798 0.817 0.404
Mg: 0.817 0.798 0.904
Si: 0.244 0.756 0.250
Si: 0.756 0.244 0.750
Au: 0.264 0.736 0.750
Au: 0.736 0.264 0.250

Entry 2:
Entry from the Alexandria database: an optimized crystal structure of GdScAl (PBE).

Properties
The symmetry is P-6m2. As for the formation energy: -0.19 eV/f.u. Its magnetization is 7.779 μB/cell. As for the energy above the most stable polymorph in this dataset: 55 kJ/mol of formula units. The calculation puts the volume at 22.6 Å³/atom.

Lattice parameters (Å, degrees): 5.064 5.064 3.052 90.00 90.00 120.00
Sites, in units of the cell vectors:
Gd: 0.000 0.000 0.000
Sc: 0.667 0.333 0.000
Al: 0.333 0.667 0.500

Entry 3:
Entry from the Alexandria database: an optimized crystal structure of Mg5InRh2 (PBE).

Properties
The symmetry is Immm. As for the formation energy: -2.18 eV/f.u. Its magnetization is 0.000 μB/cell. The calculation puts the volume at 19.7 Å³/atom.

Lattice parameters (Å, degrees): 6.321 6.321 6.321 137.94 99.27 95.54
Sites, in units of the cell vectors:
Mg: 0.000 0.000 0.000
Mg: 0.011 0.684 0.327
Mg: 0.357 0.684 0.673
Mg: 0.643 0.316 0.327
Mg: 0.989 0.316 0.673
In: 0.500 0.000 0.500
Rh: 0.318 0.318 0.000
Rh: 0.682 0.682 0.000

Entry 4:
Entry from the Alexandria database: an optimized crystal structure of TlPbBr5 (PBE).

Properties
The symmetry is C2/c. Its magnetization is 0.000 μB/cell. The formation energy without anion corrections is -4.35 eV per formula unit. The calculation puts the volume at 43.7 Å³/atom.

Lattice parameters (Å, degrees): 7.910 7.910 11.077 109.71 109.71 87.58
Sites, in units of the cell vectors:
Tl: 0.100 0.900 0.750
Tl: 0.900 0.100 0.250
Pb: 0.500 0.500 0.000
Pb: 0.500 0.500 0.500
Br: 0.144 0.256 0.841
Br: 0.200 0.761 0.535
Br: 0.239 0.800 0.965
Br: 0.256 0.144 0.341
Br: 0.405 0.595 0.250
Br: 0.595 0.405 0.750
Br: 0.744 0.856 0.659
Br: 0.761 0.200 0.035
Br: 0.800 0.239 0.465
Br: 0.856 0.744 0.159

Entry 5:
Entry from the Alexandria database: an optimized crystal structure of Bi3Pd4Se (PBE).

Properties
The symmetry is Pmmn. Its magnetization is 0.000 μB/cell. The formation energy without anion corrections is -1.79 eV per formula unit. The calculation puts the volume at 22.1 Å³/atom.

Lattice parameters (Å, degrees): 4.622 10.508 7.293 90.00 90.00 90.00
Sites, in units of the cell vectors:
Bi: 0.250 0.016 0.213
Bi: 0.250 0.250 0.580
Bi: 0.250 0.484 0.213
Bi: 0.750 0.516 0.787
Bi: 0.750 0.750 0.420
Bi: 0.750 0.984 0.787
Pd: 0.250 0.250 0.002
Pd: 0.250 0.578 0.571
Pd: 0.250 0.750 0.208
Pd: 0.250 0.922 0.571
Pd: 0.750 0.078 0.429
Pd: 0.750 0.250 0.792
Pd: 0.750 0.422 0.429
Pd: 0.750 0.750 0.998
Se: 0.250 0.750 0.835
Se: 0.750 0.250 0.165

Entry 6:
Entry from the Alexandria database: an optimized crystal structure of Sr3HfF (PBE).

Properties
The symmetry is Pm-3m. Its magnetization is 2.628 μB/cell. The formation energy without anion corrections is -2.97 eV per formula unit. As for the energy above the most stable polymorph in this dataset: 0 kJ/mol of formula units. The calculation puts the volume at 31.5 Å³/atom.

Lattice parameters (Å, degrees): 5.399 5.399 5.399 90.00 90.00 90.00
Sites, in units of the cell vectors:
Sr: 0.000 0.000 0.500
Sr: 0.000 0.500 0.000
Sr: 0.500 0.000 0.000
Hf: 0.500 0.500 0.500
F: 0.000 0.000 0.000

> magnetization of number 3 (Mg5InRh2)?

0.000 μB/cell

Copy entry 4 word for word.
Entry from the Alexandria database: an optimized crystal structure of TlPbBr5 (PBE).

Properties
The symmetry is C2/c. Its magnetization is 0.000 μB/cell. The formation energy without anion corrections is -4.35 eV per formula unit. The calculation puts the volume at 43.7 Å³/atom.

Lattice parameters (Å, degrees): 7.910 7.910 11.077 109.71 109.71 87.58
Sites, in units of the cell vectors:
Tl: 0.100 0.900 0.750
Tl: 0.900 0.100 0.250
Pb: 0.500 0.500 0.000
Pb: 0.500 0.500 0.500
Br: 0.144 0.256 0.841
Br: 0.200 0.761 0.535
Br: 0.239 0.800 0.965
Br: 0.256 0.144 0.341
Br: 0.405 0.595 0.250
Br: 0.595 0.405 0.750
Br: 0.744 0.856 0.659
Br: 0.761 0.200 0.035
Br: 0.800 0.239 0.465
Br: 0.856 0.744 0.159

> magnetization of number 3 (Mg5InRh2)?

0.000 μB/cell

> The highest magnetization belongs to which entry?

GdScAl